{"formula": "LiNpPb2", "functional": "PBE-GGA", "state": "optimized geometry", "lattice": [[3.245, 0.000, 0.000], [0.000, 3.245, 0.000], [0.000, 0.000, 9.603]], "species": ["Np", "Pb", "Pb", "Li"], "fractional_positions": [[0.500, 0.500, 0.500], [0.000, 0.000, 0.768], [0.000, 0.000, 0.232], [0.500, 0.500, 0.000]], "magnetic_moment_mub_per_fu": 4.78, "formation_enthalpy_0k_ev_per_atom": 0.02, "dos_ef_per_ev_atom": 1.4823}



{"formula": "LiNpPb2", "functional": "PBE-GGA", "state": "optimized geometry", "lattice": [[3.210, 0.000, 0.000], [0.000, 5.736, 0.000], [0.000, 0.000, 5.736]], "species": ["Np", "Pb", "Pb", "Li"], "fractional_positions": [[0.500, 0.500, 0.500], [0.000, 0.000, 0.500], [0.000, 0.500, 0.000], [0.500, 0.000, 0.000]], "magnetic_moment_mub_per_fu": 4.14, "formation_enthalpy_0k_ev_per_atom": 0.04, "dos_ef_per_ev_atom": 2.2402}



{"formula": "LiNpPdPb", "functional": "PBE-GGA", "state": "optimized geometry", "lattice": [[-0.979, 0.999, 4.672], [-2.184, -3.341, 2.802], [2.505, -2.223, 3.546]], "species": ["Np", "Pb", "Pd", "Li"], "fractional_positions": [[0.250, 0.250, 0.250], [0.750, 0.750, 0.750], [0.500, 0.500, 0.500], [0.000, 0.000, 0.000]], "magnetic_moment_mub_per_fu": 4.02, "formation_enthalpy_0k_ev_per_atom": -0.13, "dos_ef_per_ev_atom": 0.6448}



{"formula": "LiNpPtPb", "functional": "PBE-GGA", "state": "optimized geometry", "lattice": [[4.870, 0.000, 0.000], [2.435, 4.217, 0.000], [2.435, 1.406, 3.976]], "species": ["Np", "Pb", "Pt", "Li"], "fractional_positions": [[0.500, 0.500, 0.500], [0.000, 0.000, 0.000], [0.750, 0.750, 0.750], [0.250, 0.250, 0.250]], "magnetic_moment_mub_per_fu": 3.99, "formation_enthalpy_0k_ev_per_atom": -0.26, "dos_ef_per_ev_atom": 0.9611}



{"formula": "LiNpRhPb", "functional": "PBE-GGA", "state": "optimized geometry", "lattice": [[4.812, 0.000, 0.000], [2.406, 4.167, 0.000], [2.406, 1.389, 3.929]], "species": ["Np", "Pb", "Rh", "Li"], "fractional_positions": [[0.750, 0.750, 0.750], [0.250, 0.250, 0.250], [0.500, 0.500, 0.500], [0.000, 0.000, 0.000]], "magnetic_moment_mub_per_fu": 3.61, "formation_enthalpy_0k_ev_per_atom": -0.09, "dos_ef_per_ev_atom": 3.2954}



{"formula": "Li2NpPbS4", "functional": "PBE-GGA", "state": "optimized geometry", "lattice": [[3.970, 0.000, 0.000], [0.000, 6.609, 0.074], [0.000, 2.545, 6.673]], "species": ["Li", "Li", "Np", "Pb", "S", "S", "S", "S"], "fractional_positions": [[0.000, 0.000, 0.000], [0.500, 0.000, 0.500], [0.000, 0.500, 0.500], [0.500, 0.500, 0.000], [0.000, 0.755, 0.712], [0.000, 0.245, 0.288], [0.500, 0.753, 0.262], [0.500, 0.247, 0.738]], "formation_energy_uncorrected_ev_per_atom": -1.083, "magnetic_moment_mub_per_fu": 3.00, "dos_ef_per_ev_atom": 1.1396}